Entry 1:
Here is a relaxed HoSnTe3Au crystal from OQMD via LeMat-Bulk. Energies are from PBE.

```
HoSnTe3Au
1.0
13.306 0.000 0.000
0.000 4.449 0.000
0.000 0.000 12.228
Ho Sn Te Au
4 4 12 4
Direct
0.018 0.250 0.194
0.482 0.750 0.694
0.518 0.250 0.306
0.982 0.750 0.806
0.238 0.250 0.419
0.262 0.750 0.919
0.738 0.250 0.081
0.762 0.750 0.581
0.033 0.750 0.366
0.098 0.250 0.950
0.196 0.750 0.678
0.304 0.250 0.178
0.402 0.750 0.450
0.467 0.250 0.866
0.533 0.750 0.134
0.598 0.250 0.550
0.696 0.750 0.822
0.804 0.250 0.322
0.902 0.750 0.050
0.967 0.250 0.634
0.193 0.750 0.228
0.307 0.250 0.728
0.693 0.750 0.272
0.807 0.250 0.772
```

Computed properties:
calculated volume: 30.2 Å³ per atom
total magnetization: 0.00 μB per atom
energy relative to the lowest polymorph listed for this composition: 19 meV/atom
E: -100.25 eV for the cell shown

Entry 2:
Here is a relaxed HoSnTe3Au crystal from OQMD via LeMat-Bulk. Energies are from PBE.

```
HoSnTe3Au
1.0
12.796 0.000 0.000
0.000 4.368 0.000
0.000 0.000 12.609
Ho Sn Te Au
4 4 12 4
Direct
0.040 0.250 0.191
0.460 0.750 0.691
0.540 0.250 0.309
0.960 0.750 0.809
0.200 0.250 0.468
0.300 0.750 0.968
0.700 0.250 0.032
0.800 0.750 0.532
0.023 0.750 0.365
0.089 0.250 0.935
0.222 0.750 0.672
0.278 0.250 0.172
0.411 0.750 0.435
0.477 0.250 0.865
0.523 0.750 0.135
0.589 0.250 0.565
0.722 0.750 0.828
0.778 0.250 0.328
0.911 0.750 0.065
0.977 0.250 0.635
0.231 0.750 0.307
0.269 0.250 0.807
0.731 0.750 0.193
0.769 0.250 0.693
```

Computed properties:
calculated volume: 29.4 Å³ per atom
total magnetization: 0.00 μB per atom
energy relative to the lowest polymorph listed for this composition: 50 meV/atom
E: -99.50 eV for the cell shown

Entry 3:
Here is a relaxed HoSnTe3Au crystal from OQMD via LeMat-Bulk. Energies are from PBE.

```
HoSnTe3Au
1.0
14.509 0.000 0.000
0.000 4.281 0.000
0.000 0.000 11.535
Ho Sn Te Au
4 4 12 4
Direct
0.008 0.250 0.183
0.492 0.750 0.683
0.508 0.250 0.317
0.992 0.750 0.817
0.224 0.250 0.443
0.276 0.750 0.943
0.724 0.250 0.057
0.776 0.750 0.557
0.109 0.250 0.944
0.127 0.750 0.617
0.152 0.750 0.248
0.348 0.250 0.748
0.373 0.250 0.117
0.391 0.750 0.444
0.609 0.250 0.556
0.627 0.750 0.883
0.652 0.750 0.252
0.848 0.250 0.752
0.873 0.250 0.383
0.891 0.750 0.056
0.007 0.750 0.406
0.493 0.250 0.906
0.507 0.750 0.094
0.993 0.250 0.594
```

Computed properties:
calculated volume: 29.9 Å³ per atom
total magnetization: 0.00 μB per atom
energy relative to the lowest polymorph listed for this composition: 1 meV/atom
E: -100.67 eV for the cell shown

Entry 4:
Here is a relaxed HoSnTe3Au crystal from OQMD via LeMat-Bulk. Energies are from PBE.

```
HoSnTe3Au
1.0
8.261 0.000 0.000
0.000 4.292 0.000
-3.127 0.000 10.181
Ho Sn Te Au
2 2 6 2
Direct
0.207 0.250 0.180
0.793 0.750 0.820
0.215 0.750 0.707
0.785 0.250 0.293
0.078 0.250 0.873
0.205 0.250 0.469
0.462 0.750 0.164
0.538 0.250 0.836
0.795 0.750 0.531
0.922 0.750 0.127
0.395 0.750 0.402
0.605 0.250 0.598
```

Computed properties:
calculated volume: 30.1 Å³ per atom
total magnetization: 0.00 μB per atom
energy relative to the lowest polymorph listed for this composition: 1 meV/atom
E: -50.34 eV for the cell shown

Entry 5:
Here is a relaxed SrHoAu crystal from OQMD via LeMat-Bulk. Energies are from PBE.

```
SrHoAu
1.0
0.000 3.544 3.544
3.544 0.000 3.544
3.544 3.544 0.000
Sr Ho Au
1 1 1
Direct
0.000 0.000 0.000
0.750 0.750 0.750
0.500 0.500 0.500
```

Computed properties:
calculated volume: 29.7 Å³ per atom
total magnetization: 0.00 μB per atom
E: -9.08 eV for the cell shown

Entry 6:
Here is a relaxed SrHoTe3Au crystal from OQMD via LeMat-Bulk. Energies are from PBE.

```
SrHoTe3Au
1.0
8.443 0.000 0.000
0.000 4.321 0.000
-2.905 0.000 10.136
Sr Ho Te Au
2 2 6 2
Direct
0.237 0.250 0.290
0.763 0.750 0.710
0.309 0.750 0.831
0.691 0.250 0.169
0.062 0.250 0.853
0.285 0.750 0.539
0.424 0.750 0.138
0.576 0.250 0.862
0.715 0.250 0.461
0.938 0.750 0.147
0.092 0.250 0.598
0.908 0.750 0.402
```

Computed properties:
calculated volume: 30.8 Å³ per atom
total magnetization: 0.00 μB per atom
E: -52.10 eV for the cell shown

Entry 7:
Here is a relaxed TbHoAu2 crystal from OQMD via LeMat-Bulk. Energies are from PBE.

```
TbHoAu2
1.0
4.653 0.000 0.000
0.000 1.856 5.473
0.000 -1.856 5.473
Tb Ho Au
1 1 2
Direct
0.000 0.000 0.000
0.500 0.279 0.279
0.000 0.729 0.729
0.500 0.551 0.551
```

Computed properties:
calculated volume: 23.6 Å³ per atom
total magnetization: 0.00 μB per atom
E: -19.28 eV for the cell shown
energy of formation: -886 meV per atom

Entry 8:
Here is a relaxed TbHoAu crystal from OQMD via LeMat-Bulk. Energies are from PBE.

```
TbHoAu
1.0
7.104 0.000 0.000
0.000 4.949 0.000
0.000 0.000 8.910
Tb Ho Au
4 4 4
Direct
0.013 0.250 0.177
0.487 0.750 0.677
0.513 0.250 0.323
0.987 0.750 0.823
0.149 0.250 0.581
0.351 0.750 0.081
0.649 0.250 0.919
0.851 0.750 0.419
0.244 0.250 0.902
0.256 0.750 0.402
0.744 0.250 0.598
0.756 0.750 0.098
```

Computed properties:
calculated volume: 26.1 Å³ per atom
total magnetization: 0.00 μB per atom
E: -57.58 eV for the cell shown
energy of formation: -641 meV per atom

Entry 9:
Here is a relaxed TbHoAu4 crystal from OQMD via LeMat-Bulk. Energies are from PBE.

```
TbHoAu4
1.0
3.731 0.000 0.000
0.000 3.731 0.000
0.000 0.000 9.044
Tb Ho Au
1 1 4
Direct
0.000 0.000 0.000
0.500 0.500 0.500
0.000 0.000 0.335
0.000 0.000 0.665
0.500 0.500 0.166
0.500 0.500 0.834
```

Computed properties:
calculated volume: 21.0 Å³ per atom
total magnetization: 0.00 μB per atom
E: -27.49 eV for the cell shown
energy of formation: -869 meV per atom

Entry 10:
Here is a relaxed HoTcAu crystal from OQMD via LeMat-Bulk. Energies are from PBE.

```
HoTcAu
1.0
0.000 3.252 3.252
3.252 0.000 3.252
3.252 3.252 0.000
Ho Tc Au
1 1 1
Direct
0.000 0.000 0.000
0.250 0.250 0.250
0.750 0.750 0.750
```

Computed properties:
calculated volume: 22.9 Å³ per atom
total magnetization: 0.59 μB per atom
E: -16.11 eV for the cell shown
energy of formation: 699 meV per atom

- Which of these has the highest total magnetization?
  HoTcAu